(1)
The following is a PBE with a Hubbard U calculation of a geometry-optimized CuNi2F6 structure, from Alexandria via LeMat-Bulk.

Values from the calculation:
For the electronic total energy, the calculation gives -4.200 eV per atom. Its energy relative to the lowest polymorph listed for this composition is 0 meV per atom. Its crystal system is tetragonal.

abc: 4.6950 4.6950 9.4374
angles: 90.00 90.00 90.00
Last column: nearest neighbours and their distance in Å.
Space group P4_2/mnm (No. 136)
One atom of each set of equivalent atoms:
Cu  0.0000  0.0000  0.0000  6 F 2.02-2.06
Ni  0.0000  0.0000  0.3330  6 F 2.01-2.04
F  0.1960  0.1960  0.5000  1 Cu 2.02, 2 Ni 2.04
F  0.1970  0.1970  0.1687  2 Ni 2.01-2.03, 1 Cu 2.06

(2)
The following is a PBE with a Hubbard U calculation of a geometry-optimized CuNiF3 structure, from Alexandria via LeMat-Bulk.

Values from the calculation:
For the electronic total energy, the calculation gives -3.965 eV per atom. Its energy relative to the lowest polymorph listed for this composition is 0 meV per atom. Its crystal system is hexagonal.

abc: 5.4301 5.4301 5.3268
angles: 90.00 90.00 120.00
Last column: nearest neighbours and their distance in Å.
Space group P-6c2 (No. 188)
One atom of each set of equivalent atoms:
Cu  0.0000  0.0000  0.0000  6 F 2.29
Ni  0.6667  0.3333  0.0000  6 F 2.04
F  0.3696  0.0633  0.2500  2 Ni 2.04

(3)
The following is a PBE with a Hubbard U calculation of a geometry-optimized CuNi2F6 structure, from Alexandria via LeMat-Bulk.

Values from the calculation:
For the electronic total energy, the calculation gives -4.151 eV per atom. Its energy relative to the lowest polymorph listed for this composition is 49 meV per atom. Its crystal system is trigonal.

abc: 9.0700 9.0700 4.4204
angles: 90.00 90.00 120.00
Last column: nearest neighbours and their distance in Å.
Space group P-3m1 (No. 164)
One atom of each set of equivalent atoms:
Cu  0.0000  0.0000  0.0000  6 F 2.03
Cu  0.3333  0.6667  0.5032  6 F 2.08-2.10
Ni  0.0000  0.3387  0.0000  6 F 2.01-2.05
F  0.1101  0.5550  0.2437  2 Ni 2.01, 1 Cu 2.10
F  0.1132  0.2264  0.2229  2 Ni 2.03, 1 Cu 2.03
F  0.2217  0.4434  0.7557  2 Ni 2.05, 1 Cu 2.08

(4)
The following is a PBE with a Hubbard U calculation of a geometry-optimized CuNi3F structure, from Alexandria via LeMat-Bulk.

Values from the calculation:
For the electronic total energy, the calculation gives -1.610 eV per atom. Its energy relative to the lowest polymorph listed for this composition is 829 meV per atom. Its crystal system is cubic.

abc: 4.4871 4.4871 4.4871
angles: 90.00 90.00 90.00
Last column: nearest neighbours and their distance in Å.
Space group Pm-3m (No. 221)
One atom of each set of equivalent atoms:
Cu  0.0000  0.0000  0.0000  6 Ni 2.24
Ni  0.0000  0.0000  0.5000  2 Cu 2.24
F  0.5000  0.5000  0.5000  12 Ni 3.17

(5)
The following is a PBE with a Hubbard U calculation of a geometry-optimized Cu2NiF6 structure, from Alexandria via LeMat-Bulk.

Values from the calculation:
For the electronic total energy, the calculation gives -4.093 eV per atom. Its energy relative to the lowest polymorph listed for this composition is 7 meV per atom. Its crystal system is monoclinic.

abc: 8.8851 10.0899 5.2168
angles: 90.00 111.06 90.00
Last column: nearest neighbours and their distance in Å.
Space group C2/c (No. 15)
One atom of each set of equivalent atoms:
Cu  0.1376  0.0984  0.1214  4 F 1.86-1.97
Ni  0.0000  0.4104  0.2500  6 F 1.98-2.10
F  0.0975  0.0910  0.5687  2 Cu 1.95-1.97
F  0.1355  0.4383  0.6584  1 Cu 1.96, 2 Ni 2.06-2.10
F  0.1388  0.2820  0.1515  1 Cu 1.86, 1 Ni 1.98

(6)
The following is a PBE with a Hubbard U calculation of a geometry-optimized CuNiF3 structure, from Alexandria via LeMat-Bulk.

Values from the calculation:
For the electronic total energy, the calculation gives -3.897 eV per atom. Its energy relative to the lowest polymorph listed for this composition is 67 meV per atom. Its crystal system is cubic.

abc: 3.9493 3.9493 3.9493
angles: 90.00 90.00 90.00
Last column: nearest neighbours and their distance in Å.
Space group Pm-3m (No. 221)
One atom of each set of equivalent atoms:
Cu  0.0000  0.0000  0.0000  12 F 2.79
Ni  0.5000  0.5000  0.5000  6 F 1.97
F  0.0000  0.5000  0.5000  2 Ni 1.97

(7)
The following is a PBE with a Hubbard U calculation of a geometry-optimized Cu3NiF6 structure, from Alexandria via LeMat-Bulk.

Values from the calculation:
For the electronic total energy, the calculation gives -4.074 eV per atom. Its crystal system is triclinic.

abc: 4.6617 5.6437 6.0423
angles: 112.49 100.24 91.34
Last column: nearest neighbours and their distance in Å.
Space group P-1 (No. 2)
One atom of each set of equivalent atoms:
Cu  0.0000  0.0000  0.0000  2 F 1.89
Cu  0.0000  0.5000  0.0000  4 F 1.93-2.10
Cu  0.5000  0.0000  0.5000  4 F 1.93-2.06
Ni  0.0000  0.5000  0.5000  6 F 2.00-2.08
F  0.1832  0.1608  0.3336  2 Cu 1.89-2.06, 1 Ni 2.08
F  0.2452  0.6830  0.3571  2 Cu 1.93-2.10, 1 Ni 2.02
F  0.2603  0.6016  0.8299  1 Cu 1.93, 1 Ni 2.00

(8)
The following is a PBE with a Hubbard U calculation of a geometry-optimized CuNi3F structure, from Alexandria via LeMat-Bulk.

Values from the calculation:
For the electronic total energy, the calculation gives -2.440 eV per atom. Its energy relative to the lowest polymorph listed for this composition is 0 meV per atom. Its crystal system is cubic.

abc: 4.0225 4.0225 4.0225
angles: 90.00 90.00 90.00
Last column: nearest neighbours and their distance in Å.
Space group Pm-3m (No. 221)
One atom of each set of equivalent atoms:
Cu  0.0000  0.0000  0.0000  12 Ni 2.84
Ni  0.0000  0.5000  0.5000  2 F 2.01
F  0.5000  0.5000  0.5000  6 Ni 2.01

(9)
The following is a PBE with a Hubbard U calculation of a geometry-optimized Cu2NiF6 structure, from Alexandria via LeMat-Bulk.

Values from the calculation:
For the electronic total energy, the calculation gives -4.100 eV per atom. Its energy relative to the lowest polymorph listed for this composition is 0 meV per atom. Its crystal system is trigonal.

abc: 5.1908 5.1908 4.4031
angles: 90.00 90.00 120.00
Last column: nearest neighbours and their distance in Å.
Space group P-31m (No. 162)
One atom of each set of equivalent atoms:
Cu  0.3333  0.6667  0.0000  6 F 2.04
Ni  0.0000  0.0000  0.5000  6 F 2.06
F  0.0000  0.3323  0.7554  2 Cu 2.04, 1 Ni 2.06

(10)
The following is a PBE with a Hubbard U calculation of a geometry-optimized Cu3NiF structure, from Alexandria via LeMat-Bulk.

Values from the calculation:
For the electronic total energy, the calculation gives -2.441 eV per atom. Its energy relative to the lowest polymorph listed for this composition is 306 meV per atom. Its crystal system is cubic.

abc: 4.3471 4.3471 4.3471
angles: 90.00 90.00 90.00
Last column: nearest neighbours and their distance in Å.
Space group Pm-3m (No. 221)
One atom of each set of equivalent atoms:
Cu  0.0000  0.0000  0.5000  2 Ni 2.17
Ni  0.0000  0.0000  0.0000  6 Cu 2.17
F  0.5000  0.5000  0.5000  12 Cu 3.07

(11)
The following is a PBE with a Hubbard U calculation of a geometry-optimized Cu3NiF structure, from Alexandria via LeMat-Bulk.

Values from the calculation:
For the electronic total energy, the calculation gives -2.747 eV per atom. Its energy relative to the lowest polymorph listed for this composition is 0 meV per atom. Its crystal system is cubic.

abc: 4.0268 4.0268 4.0268
angles: 90.00 90.00 90.00
Last column: nearest neighbours and their distance in Å.
Space group Pm-3m (No. 221)
One atom of each set of equivalent atoms:
Cu  0.0000  0.0000  0.5000  2 F 2.01
Ni  0.5000  0.5000  0.5000  12 Cu 2.85
F  0.0000  0.0000  0.0000  6 Cu 2.01

(12)
The following is a PBE with a Hubbard U calculation of a geometry-optimized Cu2NiF8 structure, from Alexandria via LeMat-Bulk.

Values from the calculation:
For the electronic total energy, the calculation gives -3.758 eV per atom. Its crystal system is monoclinic.

abc: 7.7322 7.3662 4.8901
angles: 90.00 102.21 90.00
Last column: nearest neighbours and their distance in Å.
Space group C2/m (No. 12)
One atom of each set of equivalent atoms:
Cu  0.1933  0.0000  0.4916  5 F 1.90-2.00
Ni  0.0000  0.5000  0.0000  6 F 1.88-1.95
F  0.0408  0.0000  0.7500  2 Cu 1.90-1.94
F  0.1334  0.3325  0.2734  1 Ni 1.95, 1 Cu 2.00
F  0.1897  0.5000  0.8138  1 Ni 1.88, 1 Cu 1.90

(13)
The following is a PBE with a Hubbard U calculation of a geometry-optimized CuNi2O2F2 structure, from Alexandria via LeMat-Bulk.

Values from the calculation:
For the electronic total energy, the calculation gives -4.208 eV per atom. Its crystal system is tetragonal.

abc: 3.8146 3.8146 10.9717
angles: 90.00 90.00 90.00
Last column: nearest neighbours and their distance in Å.
Space group I4/mmm (No. 139)
One atom of each set of equivalent atoms:
Cu  0.0000  0.0000  0.0000  4 O 1.91
Ni  0.0000  0.0000  0.3822  1 F 1.87
O  0.0000  0.5000  0.0000  2 Cu 1.91
F  0.0000  0.0000  0.2115  1 Ni 1.87

(14)
The following is a PBE with a Hubbard U calculation of a geometry-optimized CuNiOF2 structure, from Alexandria via LeMat-Bulk.

Values from the calculation:
For the electronic total energy, the calculation gives -3.965 eV per atom. Its energy relative to the lowest polymorph listed for this composition is 0 meV per atom. Its crystal system is tetragonal.

abc: 3.8422 3.8422 3.8633
angles: 90.00 90.00 90.00
Last column: nearest neighbours and their distance in Å.
Space group P4/mmm (No. 123)
One atom of each set of equivalent atoms:
Cu  0.0000  0.0000  0.0000  4 O 2.72, 8 F 2.72
Ni  0.5000  0.5000  0.5000  4 F 1.92, 2 O 1.93
O  0.5000  0.5000  0.0000  2 Ni 1.93
F  0.0000  0.5000  0.5000  2 Ni 1.92

(15)
The following is a PBE with a Hubbard U calculation of a geometry-optimized CuNiOF2 structure, from Alexandria via LeMat-Bulk.

Values from the calculation:
For the electronic total energy, the calculation gives -3.780 eV per atom. Its energy relative to the lowest polymorph listed for this composition is 185 meV per atom. Its crystal system is tetragonal.

abc: 3.8199 3.8199 3.9411
angles: 90.00 90.00 90.00
Last column: nearest neighbours and their distance in Å.
Space group P4/mmm (No. 123)
One atom of each set of equivalent atoms:
Cu  0.0000  0.0000  0.0000  4 F 1.91, 2 O 1.97
Ni  0.5000  0.5000  0.5000  4 O 2.70, 8 F 2.74
O  0.0000  0.0000  0.5000  2 Cu 1.97
F  0.0000  0.5000  0.0000  2 Cu 1.91

(16)
The following is a PBE with a Hubbard U calculation of a geometry-optimized Cu2NiPbF8 structure, from Alexandria via LeMat-Bulk.

Values from the calculation:
For the electronic total energy, the calculation gives -4.215 eV per atom. Its crystal system is tetragonal.

abc: 5.4527 5.4527 10.7693
angles: 90.00 90.00 90.00
Last column: nearest neighbours and their distance in Å.
Space group I-4 (No. 82)
One atom of each set of equivalent atoms:
Cu  0.0000  0.0000  0.0000  4 F 1.94
Cu  0.0000  0.5000  0.2500  4 F 1.90
Ni  0.0000  0.0000  0.5000  4 F 2.10
Pb  0.0000  0.5000  0.7500  4 F 2.40
F  0.1243  0.8024  0.3097  1 Cu 1.90
F  0.1935  0.2860  0.9549  1 Cu 1.94, 1 Ni 2.10

(17)
The following is a PBE with a Hubbard U calculation of a geometry-optimized CuNi2PbF8 structure, from Alexandria via LeMat-Bulk.

Values from the calculation:
For the electronic total energy, the calculation gives -4.319 eV per atom. Its crystal system is triclinic.

abc: 4.9973 5.0660 6.5781
angles: 89.86 89.87 86.42
Last column: nearest neighbours and their distance in Å.
Space group P-1 (No. 2)
One atom of each set of equivalent atoms:
Cu  0.0000  0.0000  0.0000  4 F 1.96
Ni  0.4999  0.5000  0.2326  6 F 2.02-2.14
Pb  0.0000  0.0000  0.5000  6 F 2.40-2.45
F  0.2109  0.7994  0.2064  1 Cu 1.96, 1 Ni 2.04
F  0.2121  0.8005  0.7936  1 Cu 1.96, 1 Ni 2.04
F  0.3137  0.3254  0.0005  2 Ni 2.02
F  0.3289  0.3400  0.5005  2 Ni 2.14

(18)
The following is a PBE with a Hubbard U calculation of a geometry-optimized CuNiPbF6 structure, from Alexandria via LeMat-Bulk.

Values from the calculation:
For the electronic total energy, the calculation gives -4.417 eV per atom. Its crystal system is trigonal.

abc: 5.3681 5.3681 10.5489
angles: 90.00 90.00 120.00
Last column: nearest neighbours and their distance in Å.
Space group P-31c (No. 163)
One atom of each set of equivalent atoms:
Cu  0.3333  0.6667  0.2500  6 F 2.05
Ni  0.3333  0.6667  0.7500  6 F 2.03
Pb  0.0000  0.0000  0.0000  6 F 2.48
F  0.0029  0.3672  0.6440  1 Ni 2.03, 1 Cu 2.05

(19)
The following is a PBE with a Hubbard U calculation of a geometry-optimized CuNiPd2F8 structure, from Alexandria via LeMat-Bulk.

Values from the calculation:
For the electronic total energy, the calculation gives -3.798 eV per atom. Its crystal system is tetragonal.

abc: 6.4104 6.4104 7.8833
angles: 90.00 90.00 90.00
Last column: nearest neighbours and their distance in Å.
Space group I-4m2 (No. 119)
One atom of each set of equivalent atoms:
Cu  0.0000  0.0000  0.0000  4 F 1.95
Ni  0.0000  0.5000  0.7500  4 F 1.93
Pd  0.0000  0.0000  0.5000  4 F 2.10
Pd  0.0000  0.5000  0.2500  4 F 2.15
F  0.0000  0.2032  0.7096  1 Ni 1.93, 1 Pd 2.10
F  0.0000  0.3015  0.0302  1 Cu 1.95, 1 Pd 2.15

(20)
The following is a PBE with a Hubbard U calculation of a geometry-optimized CuNiPdF6 structure, from Alexandria via LeMat-Bulk.

Values from the calculation:
For the electronic total energy, the calculation gives -4.017 eV per atom. Its crystal system is tetragonal.

abc: 4.8129 4.8129 9.9412
angles: 90.00 90.00 90.00
Last column: nearest neighbours and their distance in Å.
Space group P4_2nm (No. 102)
One atom of each set of equivalent atoms:
Cu  0.0000  0.0000  0.0000  6 F 1.98-2.15
Ni  0.0000  0.0000  0.6669  6 F 2.00-2.13
Pd  0.0000  0.0000  0.3358  6 F 2.09-2.22
F  0.1928  0.1928  0.8359  1 Pd 2.09, 1 Cu 2.09, 1 Ni 2.13
F  0.2068  0.2068  0.1636  1 Ni 2.00, 1 Cu 2.15, 1 Pd 2.22
F  0.2089  0.2089  0.5070  1 Cu 1.98, 1 Ni 2.13, 1 Pd 2.22

(21)
The following is a PBE with a Hubbard U calculation of a geometry-optimized Rb3CuNi2F9 structure, from Alexandria via LeMat-Bulk.

Values from the calculation:
For the electronic total energy, the calculation gives -4.224 eV per atom. Its crystal system is trigonal.

abc: 5.8560 5.8560 7.1739
angles: 90.00 90.00 120.00
Last column: nearest neighbours and their distance in Å.
Space group P-3m1 (No. 164)
One atom of each set of equivalent atoms:
Rb  0.0000  0.0000  0.0000  12 F 2.93
Rb  0.3333  0.6667  0.6655  12 F 2.92-2.94
Cu  0.0000  0.0000  0.5000  6 F 2.08
Ni  0.3333  0.6667  0.1647  6 F 2.06-2.07
F  0.0000  0.5000  0.0000  2 Ni 2.06
F  0.1674  0.3348  0.3326  1 Ni 2.07, 1 Cu 2.08